*i*
GaPdAu3: optimized geometry, PBE.

```
GaPdAu3
1.0
4.786 0.000 0.000
0.000 4.786 0.000
0.000 0.000 4.786
Ga Pd Au
1 1 3
Cartesian
0.000 0.000 0.000
2.393 2.393 2.393
0.000 0.000 2.393
0.000 2.393 0.000
2.393 0.000 0.000
```

Values from the calculation:
The total moment is 0.000 μB/atom.

***

*ii*
GaPdAu3: optimized geometry, PBE.

```
GaPdAu3
1.0
-4.654 3.596 2.819
4.654 -3.596 2.819
4.654 3.596 -2.819
Ga Pd Au
2 2 6
Cartesian
2.327 1.798 0.000
2.327 1.798 2.819
-2.327 3.281 1.412
2.327 3.911 1.412
2.327 -0.414 1.407
4.872 1.822 0.013
4.437 -1.774 2.833
6.982 0.414 1.407
0.218 5.370 0.013
-0.218 1.774 2.833
```

Values from the calculation:
The total moment is 0.000 μB/atom.

***

Pick the least stable structure from those above. Pick: *i*